(1)
This record from Alexandria via LeMat-Bulk describes an optimized crystal structure of BBr2F2. The functional is PBE.

Calculated values
Total DFT energy (no corrections) (Ry/atom): -0.2081
SG: P4/mbm

a b c (Å): 5.283 5.283 7.237
angles (deg): 90.00 90.00 90.00
Positions (direct):
B  0.000  0.000  0.000
B  0.500  0.500  0.000
Br  0.171  0.329  0.500
Br  0.329  0.829  0.500
Br  0.671  0.171  0.500
Br  0.829  0.671  0.500
F  0.249  0.749  0.000
F  0.251  0.249  0.000
F  0.749  0.751  0.000
F  0.751  0.251  0.000


(2)
This record from Alexandria via LeMat-Bulk describes an optimized crystal structure of BBr2F. The functional is PBE.

Calculated values
Total DFT energy (no corrections) (Ry/atom): -0.1897
SG: R-3m

a b c (Å): 7.743 7.743 7.743
angles (deg): 24.64 24.64 24.64
Positions (direct):
B  0.000  0.000  0.000
Br  0.396  0.396  0.396
Br  0.604  0.604  0.604
F  0.500  0.500  0.500


(3)
This record from Alexandria via LeMat-Bulk describes an optimized crystal structure of B2BrF. The functional is PBE.

Calculated values
Total DFT energy (no corrections) (Ry/atom): -0.2036
SG: Fm-3m

a b c (Å): 4.288 4.288 4.288
angles (deg): 60.00 60.00 60.00
Positions (direct):
B  0.250  0.250  0.250
B  0.750  0.750  0.750
Br  0.000  0.000  0.000
F  0.500  0.500  0.500